Below is TlP2Pb after structural relaxation, with properties calculated at the PBE-GGA level. Values from VASP.

Structure (Quantum ESPRESSO input):
```
&SYSTEM
  ibrav = 0, nat = 4, ntyp = 3
/
ATOMIC_SPECIES
Tl 204.38 Tl.upf
P 30.97 P.upf
Pb 207.20 Pb.upf
CELL_PARAMETERS angstrom
-1.8547 -1.4983 -3.3132
3.6410 -0.8714 -1.6441
-0.1707 -6.0869 2.8482
ATOMIC_POSITIONS crystal
Tl 0.5000 0.5000 0.7500
P 0.0000 0.0000 0.4096
P 0.0000 0.0000 0.0904
Pb 0.5000 0.5000 0.2500
```

Values from the calculation:
E above lowest polymorph	0.1097	eV per atom
total DFT energy (no corrections)	-0.2963	Ry per atom
crystal system	tetragonal
energy relative to the elements	0.192	eV per atom

Below is TlPPb2 after structural relaxation, with properties calculated at the PBE-GGA level. Values from VASP.

Structure (Quantum ESPRESSO input):
```
&SYSTEM
  ibrav = 0, nat = 4, ntyp = 3
/
ATOMIC_SPECIES
Pb 207.20 Pb.upf
Tl 204.38 Tl.upf
P 30.97 P.upf
CELL_PARAMETERS angstrom
-7.3571 -0.1376 -5.0116
-8.7717 -0.7259 -1.3394
-7.9822 2.9647 -2.5997
ATOMIC_POSITIONS crystal
Pb 0.0178 0.0178 0.0178
Pb 0.4822 0.4822 0.4822
Tl 0.2500 0.2500 0.2500
P 0.7500 0.7500 0.7500
```

Values from the calculation:
E above lowest polymorph	0.0010	eV per atom
total DFT energy (no corrections)	-0.2735	Ry per atom
crystal system	trigonal
energy relative to the elements	0.077	eV per atom

Below is Tl2PPb after structural relaxation, with properties calculated at the PBE-GGA level. Values from VASP.

Structure (Quantum ESPRESSO input):
```
&SYSTEM
  ibrav = 0, nat = 8, ntyp = 3
/
ATOMIC_SPECIES
P 30.97 P.upf
Pb 207.20 Pb.upf
Tl 204.38 Tl.upf
CELL_PARAMETERS angstrom
-0.4558 -6.1853 -2.6431
2.4259 -2.6221 5.7176
-4.7705 -4.9215 3.7417
ATOMIC_POSITIONS crystal
P 0.2500 0.7500 0.5000
P 0.5000 0.5000 0.0000
Pb 0.7500 0.2500 0.5000
Pb 0.0000 0.0000 0.0000
Tl 0.1698 0.6250 0.2500
Tl 0.5802 0.1250 0.2500
Tl 0.3750 0.4198 0.7500
Tl 0.8750 0.8302 0.7500
```

Values from the calculation:
E above lowest polymorph	0.2277	eV per atom
total DFT energy (no corrections)	-0.2316	Ry per atom
crystal system	tetragonal
energy relative to the elements	0.312	eV per atom

Below is TlPPb3 after structural relaxation, with properties calculated at the PBE-GGA level. Values from VASP.

Structure (Quantum ESPRESSO input):
```
&SYSTEM
  ibrav = 0, nat = 5, ntyp = 3
/
ATOMIC_SPECIES
P 30.97 P.upf
Tl 204.38 Tl.upf
Pb 207.20 Pb.upf
CELL_PARAMETERS angstrom
-0.9765 -3.2747 -4.6580
-1.0189 -4.5492 3.4118
-5.6020 1.3982 0.1914
ATOMIC_POSITIONS crystal
P 0.5000 0.5000 0.5000
Tl 0.0000 0.0000 0.0000
Pb 0.5000 0.0000 0.0000
Pb 0.0000 0.5000 0.0000
Pb 0.0000 0.0000 0.5000
```

Values from the calculation:
E above lowest polymorph	0.6264	eV per atom
total DFT energy (no corrections)	-0.2073	Ry per atom
crystal system	cubic
energy relative to the elements	0.960	eV per atom

Below is TlPPb2 after structural relaxation, with properties calculated at the PBE-GGA level. Values from VASP.

Structure (Quantum ESPRESSO input):
```
&SYSTEM
  ibrav = 0, nat = 4, ntyp = 3
/
ATOMIC_SPECIES
P 30.97 P.upf
Tl 204.38 Tl.upf
Pb 207.20 Pb.upf
CELL_PARAMETERS angstrom
-1.3483 1.5327 3.4671
-3.7588 0.3432 -1.6135
-3.4862 -6.4399 1.4911
ATOMIC_POSITIONS crystal
P 0.5000 0.3531 0.1691
Tl 0.0000 0.1927 0.4883
Pb 0.5000 0.5499 0.7755
Pb 0.0000 0.9043 0.0671
```

Values from the calculation:
E above lowest polymorph	0.0549	eV per atom
total DFT energy (no corrections)	-0.2695	Ry per atom
crystal system	monoclinic
energy relative to the elements	0.131	eV per atom

Below is Tl2PPb after structural relaxation, with properties calculated at the PBE-GGA level. Values from VASP.

Structure (Quantum ESPRESSO input):
```
&SYSTEM
  ibrav = 0, nat = 4, ntyp = 3
/
ATOMIC_SPECIES
Tl 204.38 Tl.upf
P 30.97 P.upf
Pb 207.20 Pb.upf
CELL_PARAMETERS angstrom
-2.4392 2.4392 4.5838
2.4392 -2.4392 4.5838
2.4392 2.4392 -4.5838
ATOMIC_POSITIONS crystal
Tl 0.2500 0.7500 0.5000
Tl 0.0000 0.0000 0.0000
P 0.5000 0.5000 0.0000
Pb 0.7500 0.2500 0.5000
```

Values from the calculation:
E above lowest polymorph	0.1606	eV per atom
total DFT energy (no corrections)	-0.2365	Ry per atom
crystal system	tetragonal
energy relative to the elements	0.245	eV per atom

Below is Tl2P2Pb after structural relaxation, with properties calculated at the PBE-GGA level. Values from VASP.

Structure (Quantum ESPRESSO input):
```
&SYSTEM
  ibrav = 0, nat = 5, ntyp = 3
/
ATOMIC_SPECIES
Tl 204.38 Tl.upf
Pb 207.20 Pb.upf
P 30.97 P.upf
CELL_PARAMETERS angstrom
4.3857 0.0000 0.0000
0.0000 4.3857 0.0000
2.1929 2.1929 6.9712
ATOMIC_POSITIONS crystal
Tl 0.7500 0.2500 0.5000
Tl 0.2500 0.7500 0.5000
Pb 0.0000 0.0000 0.0000
P 0.4225 0.4225 0.1550
P 0.5775 0.5775 0.8450
```

Values from the calculation:
E above lowest polymorph	0.0509	eV per atom
total DFT energy (no corrections)	-0.2673	Ry per atom
crystal system	tetragonal
energy relative to the elements	0.215	eV per atom

Below is TlP2Pb after structural relaxation, with properties calculated at the PBE-GGA level. Values from VASP.

Structure (Quantum ESPRESSO input):
```
&SYSTEM
  ibrav = 0, nat = 4, ntyp = 3
/
ATOMIC_SPECIES
P 30.97 P.upf
Pb 207.20 Pb.upf
Tl 204.38 Tl.upf
CELL_PARAMETERS angstrom
-3.9184 4.6935 1.5491
-6.0807 -0.7104 1.5177
5.7343 -2.3019 1.2654
ATOMIC_POSITIONS crystal
P 0.0000 0.0000 0.0000
P 0.2500 0.7500 0.5000
Pb 0.5000 0.5000 0.0000
Tl 0.7500 0.2500 0.5000
```

Values from the calculation:
E above lowest polymorph	0.4553	eV per atom
total DFT energy (no corrections)	-0.2709	Ry per atom
crystal system	tetragonal
energy relative to the elements	0.538	eV per atom

Below is YTlPPb2 after structural relaxation, with properties calculated at the PBE-GGA level. Values from VASP.

Structure (Quantum ESPRESSO input):
```
&SYSTEM
  ibrav = 0, nat = 5, ntyp = 4
/
ATOMIC_SPECIES
Tl 204.38 Tl.upf
Pb 207.20 Pb.upf
Y 88.91 Y.upf
P 30.97 P.upf
CELL_PARAMETERS angstrom
5.8748 0.0000 0.0000
0.0000 5.8052 0.0000
0.0000 0.0000 5.8748
ATOMIC_POSITIONS crystal
Tl 0.0000 0.5000 0.0000
Pb 0.0000 0.0000 0.5000
Pb 0.5000 0.0000 0.0000
Y 0.0000 0.0000 0.0000
P 0.5000 0.5000 0.5000
```

Values from the calculation:
total DFT energy (no corrections)	-0.2488	Ry per atom
crystal system	tetragonal
energy relative to the elements	0.947	eV per atom

Below is Tm4PPb after structural relaxation, with properties calculated at the PBE-GGA level. Values from VASP.

Structure (Quantum ESPRESSO input):
```
&SYSTEM
  ibrav = 0, nat = 12, ntyp = 3
/
ATOMIC_SPECIES
Pb 207.20 Pb.upf
Tm 168.93 Tm.upf
P 30.97 P.upf
CELL_PARAMETERS angstrom
5.6036 -1.2579 0.0000
-4.3625 6.8650 0.0000
0.0000 0.0000 11.2667
ATOMIC_POSITIONS crystal
Pb 0.9994 0.7490 0.7500
Pb 0.0006 0.2510 0.2500
Tm 0.0001 0.7502 0.0157
Tm 0.5001 0.7498 0.7500
Tm 0.4993 0.2491 0.7500
Tm 0.9999 0.2498 0.9843
Tm 0.4999 0.2502 0.2500
Tm 0.0001 0.7502 0.4843
Tm 0.9999 0.2498 0.5157
Tm 0.5007 0.7509 0.2500
P 0.0000 0.7504 0.2500
P 0.0000 0.2496 0.7500
```

Values from the calculation:
total DFT energy (no corrections)	-0.3542	Ry per atom
crystal system	orthorhombic
energy relative to the elements	-0.318	eV per atom

Below is Tm8PPb2 after structural relaxation, with properties calculated at the PBE-GGA level. Values from VASP.

Structure (Quantum ESPRESSO input):
```
&SYSTEM
  ibrav = 0, nat = 11, ntyp = 3
/
ATOMIC_SPECIES
Tm 168.93 Tm.upf
Pb 207.20 Pb.upf
P 30.97 P.upf
CELL_PARAMETERS angstrom
5.0139 0.0000 0.0000
0.0000 6.5682 1.2744
-2.5069 -1.1043 8.8563
ATOMIC_POSITIONS crystal
Tm 0.0252 0.2369 0.0504
Tm 0.6478 0.0850 0.2957
Tm 0.5904 0.5818 0.1807
Tm 0.7864 0.6402 0.5729
Tm 0.3522 0.9150 0.7044
Tm 0.9748 0.7631 0.9496
Tm 0.2136 0.3598 0.4271
Tm 0.4096 0.4182 0.8193
Pb 0.8281 0.1765 0.6562
Pb 0.1719 0.8235 0.3438
P 0.5000 0.0000 0.0000
```

Values from the calculation:
total DFT energy (no corrections)	-0.3553	Ry per atom
crystal system	monoclinic
energy relative to the elements	-0.416	eV per atom

Below is TmPPb after structural relaxation, with properties calculated at the PBE-GGA level. Values from VASP.

Structure (Quantum ESPRESSO input):
```
&SYSTEM
  ibrav = 0, nat = 6, ntyp = 3
/
ATOMIC_SPECIES
Tm 168.93 Tm.upf
Pb 207.20 Pb.upf
P 30.97 P.upf
CELL_PARAMETERS angstrom
4.9638 0.0000 0.0000
2.4819 4.2988 0.0000
2.4819 1.4329 7.6045
ATOMIC_POSITIONS crystal
Tm 0.6069 0.6069 0.1792
Tm 0.3931 0.3931 0.8208
Pb 0.8529 0.8529 0.4412
Pb 0.1471 0.1471 0.5588
P 0.7242 0.7242 0.8275
P 0.2758 0.2758 0.1725
```

Values from the calculation:
total DFT energy (no corrections)	-0.3720	Ry per atom
crystal system	trigonal
energy relative to the elements	-0.531	eV per atom

Question: Among the records above, which one has the highest energy relative to the elements?
Answer: TlPPb3